Cu3SiTe4 PBE optimized geometry; formation energy without anion corrections = -0.094 eV per atom
1.0
6.985 0.000 0.000
0.000 7.254 0.000
0.000 0.000 8.287
Cu Te Si
6 8 2
Direct
0.997 0.668 0.751 Cu
0.000 0.158 0.500 Cu
0.497 0.332 0.749 Cu
0.997 0.668 0.249 Cu
0.497 0.332 0.251 Cu
0.500 0.842 0.000 Cu
0.130 0.828 0.500 Te
0.129 0.336 0.251 Te
0.629 0.664 0.751 Te
0.629 0.664 0.249 Te
0.129 0.336 0.749 Te
0.132 0.834 0.000 Te
0.630 0.172 0.000 Te
0.632 0.166 0.500 Te
0.501 0.834 0.500 Si
0.001 0.166 0.000 Si

Cu2SiTe3 PBE optimized geometry; formation energy without anion corrections = -0.075 eV per atom
1.0
7.321 -0.023 0.007
-3.675 6.332 0.016
-1.198 -2.083 6.912
Te Cu Si
6 4 2
Direct
0.209 0.541 0.625 Te
0.367 0.371 0.127 Te
0.877 0.883 0.619 Te
0.047 0.712 0.119 Te
0.705 0.045 0.125 Te
0.536 0.203 0.627 Te
0.832 0.173 0.496 Cu
0.337 0.666 0.996 Cu
0.155 0.821 0.493 Cu
0.985 0.990 0.992 Cu
0.678 0.343 0.012 Si
0.508 0.514 0.512 Si

TlCu2SiTe4 PBE optimized geometry; formation energy without anion corrections = -0.086 eV per atom
1.0
-2.235 -4.736 -3.861
4.781 -5.323 -1.719
0.282 -6.828 2.730
Te Cu Si Tl
4 2 1 1
Direct
0.143 0.857 0.431 Te
0.569 0.431 0.857 Te
0.431 0.143 0.569 Te
0.857 0.569 0.143 Te
0.750 0.750 0.750 Cu
0.250 0.250 0.250 Cu
0.500 0.500 0.500 Si
0.000 0.000 0.000 Tl

TlCuSi2Te6 PBE optimized geometry; formation energy without anion corrections = -0.006 eV per atom
1.0
-0.547 -1.173 -7.118
-5.526 -8.202 -0.955
-8.096 4.960 -2.927
Si Te Cu Tl
4 12 2 2
Direct
0.292 0.786 0.634 Si
0.792 0.634 0.786 Si
0.208 0.366 0.214 Si
0.708 0.214 0.366 Si
0.973 0.299 0.436 Te
0.937 0.404 0.904 Te
0.063 0.596 0.096 Te
0.527 0.564 0.701 Te
0.149 0.961 0.836 Te
0.437 0.904 0.404 Te
0.027 0.701 0.564 Te
0.563 0.096 0.596 Te
0.851 0.039 0.164 Te
0.649 0.836 0.961 Te
0.473 0.436 0.299 Te
0.351 0.164 0.039 Te
0.250 0.202 0.798 Cu
0.750 0.798 0.202 Cu
0.750 0.195 0.805 Tl
0.250 0.805 0.195 Tl

Tl2CuSiTe4 PBE optimized geometry; formation energy without anion corrections = -0.094 eV per atom
1.0
6.504 0.000 0.000
3.252 7.081 0.000
3.252 0.000 12.164
Si Tl Te Cu
2 4 8 2
Direct
0.500 0.000 0.000 Si
0.250 0.500 0.500 Si
0.555 0.500 0.890 Tl
0.945 0.500 0.110 Tl
0.805 0.000 0.390 Tl
0.195 0.000 0.610 Tl
0.312 0.791 0.112 Te
0.215 0.209 0.888 Te
0.438 0.709 0.388 Te
0.853 0.709 0.612 Te
0.174 0.291 0.388 Te
0.897 0.791 0.888 Te
0.576 0.209 0.112 Te
0.535 0.291 0.612 Te
0.750 0.500 0.500 Cu
0.000 0.000 0.000 Cu

Tm8CuSi3Te4 PBE optimized geometry; formation energy without anion corrections = -0.939 eV per atom
1.0
-4.487 -2.968 -6.323
-4.289 -4.966 5.374
0.309 8.179 1.392
Si Cu Te Tm
3 1 4 8
Direct
0.000 0.500 0.500 Si
0.500 0.500 0.500 Si
0.500 0.500 0.000 Si
0.000 0.500 0.000 Cu
0.000 0.000 0.500 Te
0.500 0.000 0.000 Te
0.500 0.000 0.500 Te
0.000 0.000 0.000 Te
0.266 0.281 0.023 Tm
0.757 0.280 0.514 Tm
0.243 0.719 0.977 Tm
0.734 0.719 0.977 Tm
0.243 0.720 0.486 Tm
0.261 0.284 0.523 Tm
0.757 0.281 0.023 Tm
0.739 0.716 0.477 Tm

The highest formation energy without anion corrections belongs to which entry?
TlCuSi2Te6

Among the records above, which one has the lowest formation energy without anion corrections?
Tm8CuSi3Te4

What did the third record say?
TlCu2SiTe4 PBE optimized geometry; formation energy without anion corrections = -0.086 eV per atom
1.0
-2.235 -4.736 -3.861
4.781 -5.323 -1.719
0.282 -6.828 2.730
Te Cu Si Tl
4 2 1 1
Direct
0.143 0.857 0.431 Te
0.569 0.431 0.857 Te
0.431 0.143 0.569 Te
0.857 0.569 0.143 Te
0.750 0.750 0.750 Cu
0.250 0.250 0.250 Cu
0.500 0.500 0.500 Si
0.000 0.000 0.000 Tl